(1)
A plane-wave DFT calculation with PBE was carried out for an optimized crystal structure of LiNi5B2.

Cell lengths 5.7854, 5.7854, 5.7854 Å; angles 147.68, 127.13, 63.33 degrees
Closest atoms and distances in Å follow each position.
Sites, in units of the cell vectors:
Li1 0.0000 0.0000 0.0000  10 Ni 2.58-2.59
Ni1 0.1138 0.3483 0.7654  3 B 2.00-2.07
Ni2 0.4171 0.6517 0.7654  3 B 2.00-2.07
Ni3 0.5000 0.0000 0.5000  2 B 1.97
Ni4 0.5829 0.3483 0.2346  3 B 2.00-2.07
Ni5 0.8862 0.6517 0.2346  3 B 2.00-2.07
B1 0.2996 0.7996 0.5000  7 Ni 1.97-2.07
B2 0.7004 0.2004 0.5000  7 Ni 1.97-2.07

## Properties
E, eV/atom: -5.7263
Crystal system: orthorhombic
Energy of formation from the pure elements, eV per atom: -0.2044

=====

(2)
A plane-wave DFT calculation with PBE was carried out for an optimized crystal structure of LiNi10B3.

Cell lengths 7.3702, 7.3702, 7.3702 Å; angles 60.00, 60.00, 60.00 degrees
Closest atoms and distances in Å follow each position.
Sites, in units of the cell vectors:
Li1 0.2500 0.2500 0.2500  4 Ni 2.40
Li2 0.7500 0.7500 0.7500  4 Ni 2.40
Ni1 0.0000 0.0000 0.3351  2 B 2.07
Ni2 0.0000 0.0000 0.6649  2 B 2.07
Ni3 0.0000 0.3351 0.0000  2 B 2.07
Ni4 0.0000 0.3351 0.6649  2 B 2.07
Ni5 0.0000 0.6649 0.0000  2 B 2.07
Ni6 0.0000 0.6649 0.3351  2 B 2.07
Ni7 0.1481 0.6173 0.6173  3 B 2.07
Ni8 0.3351 0.0000 0.0000  2 B 2.07
Ni9 0.3351 0.0000 0.6649  2 B 2.07
Ni10 0.3351 0.6649 0.0000  2 B 2.07
Ni11 0.3827 0.3827 0.3827  3 B 2.07
Ni12 0.3827 0.3827 0.8519  3 B 2.07
Ni13 0.3827 0.8519 0.3827  3 B 2.07
Ni14 0.6173 0.1481 0.6173  3 B 2.07
Ni15 0.6173 0.6173 0.1481  3 B 2.07
Ni16 0.6173 0.6173 0.6173  3 B 2.07
Ni17 0.6649 0.0000 0.0000  2 B 2.07
Ni18 0.6649 0.0000 0.3351  2 B 2.07
Ni19 0.6649 0.3351 0.0000  2 B 2.07
Ni20 0.8519 0.3827 0.3827  3 B 2.07
B1 0.2736 0.2736 0.7264  8 Ni 2.07
B2 0.2736 0.7264 0.2736  8 Ni 2.07
B3 0.2736 0.7264 0.7264  8 Ni 2.07
B4 0.7264 0.2736 0.2736  8 Ni 2.07
B5 0.7264 0.2736 0.7264  8 Ni 2.07
B6 0.7264 0.7264 0.2736  8 Ni 2.07

## Properties
E, eV/atom: -5.9092
Crystal system: cubic
Energy of formation from the pure elements, eV per atom: -0.2121

=====

(3)
A plane-wave DFT calculation with PBE was carried out for an optimized crystal structure of LiNiB.

Cell lengths 2.8197, 4.7757, 5.4094 Å; angles 115.79, 105.10, 90.10 degrees
Closest atoms and distances in Å follow each position.
Sites, in units of the cell vectors:
Li1 0.2124 0.2120 0.4248  2 B 2.28
Li2 0.7876 0.7880 0.5752  2 B 2.28
Ni1 0.4994 0.2524 0.9997  4 B 2.04-2.05
Ni2 0.5006 0.7476 0.0003  4 B 2.04-2.05
B1 0.0946 0.5946 0.1896  1 B 1.77
B2 0.9054 0.4054 0.8104  1 B 1.77

## Properties
E, eV/atom: -4.7859
Crystal system: triclinic
Energy of formation from the pure elements, eV per atom: 0.0050

=====

(4)
A plane-wave DFT calculation with PBE was carried out for an optimized crystal structure of LiNi3B.

Cell lengths 3.7639, 3.7639, 3.7639 Å; angles 90.00, 90.00, 90.00 degrees
Closest atoms and distances in Å follow each position.
Sites, in units of the cell vectors:
Li1 0.0000 0.0000 0.0000  6 Ni 1.88
Ni1 0.0000 0.0000 0.5000  2 Li 1.88
Ni2 0.0000 0.5000 0.0000  2 Li 1.88
Ni3 0.5000 0.0000 0.0000  2 Li 1.88
B1 0.5000 0.5000 0.5000  12 Ni 2.66

## Properties
ΔE to the lowest computed polymorph, meV per atom: 1470
E, eV/atom: -3.9179
Crystal system: cubic
Energy of formation from the pure elements, eV per atom: 1.2692

=====

(5)
A plane-wave DFT calculation with PBE was carried out for an optimized crystal structure of Li2Ni21B6.

Cell lengths 7.3964, 7.3964, 7.3964 Å; angles 60.00, 60.00, 60.00 degrees
Closest atoms and distances in Å follow each position.
Sites, in units of the cell vectors:
Li1 0.2500 0.2500 0.2500  4 Ni 2.41
Li2 0.7500 0.7500 0.7500  4 Ni 2.41
Ni1 0.0000 0.0000 0.0000  12 Ni 2.50
Ni2 0.0000 0.0000 0.3380  2 B 2.08
Ni3 0.0000 0.0000 0.6620  2 B 2.08
Ni4 0.0000 0.3380 0.0000  2 B 2.08
Ni5 0.0000 0.3380 0.6620  2 B 2.08
Ni6 0.0000 0.6620 0.0000  2 B 2.08
Ni7 0.0000 0.6620 0.3380  2 B 2.08
Ni8 0.1483 0.6172 0.6172  3 B 2.08
Ni9 0.3380 0.0000 0.0000  2 B 2.08
Ni10 0.3380 0.0000 0.6620  2 B 2.08
Ni11 0.3380 0.6620 0.0000  2 B 2.08
Ni12 0.3828 0.3828 0.3828  3 B 2.08
Ni13 0.3828 0.3828 0.8517  3 B 2.08
Ni14 0.3828 0.8517 0.3828  3 B 2.08
Ni15 0.6172 0.1483 0.6172  3 B 2.08
Ni16 0.6172 0.6172 0.1483  3 B 2.08
Ni17 0.6172 0.6172 0.6172  3 B 2.08
Ni18 0.6620 0.0000 0.0000  2 B 2.08
Ni19 0.6620 0.0000 0.3380  2 B 2.08
Ni20 0.6620 0.3380 0.0000  2 B 2.08
Ni21 0.8517 0.3828 0.3828  3 B 2.08
B1 0.2738 0.2738 0.7262  8 Ni 2.08
B2 0.2738 0.7262 0.2738  8 Ni 2.08
B3 0.2738 0.7262 0.7262  8 Ni 2.08
B4 0.7262 0.2738 0.2738  8 Ni 2.08
B5 0.7262 0.2738 0.7262  8 Ni 2.08
B6 0.7262 0.7262 0.2738  8 Ni 2.08

## Properties
E, eV/atom: -5.9472
Crystal system: cubic
Energy of formation from the pure elements, eV per atom: -0.2472

=====

(6)
A plane-wave DFT calculation with PBE was carried out for an optimized crystal structure of Li2Ni6B.

Cell lengths 5.1683, 5.1683, 5.1683 Å; angles 60.00, 60.00, 60.00 degrees
Closest atoms and distances in Å follow each position.
Sites, in units of the cell vectors:
Li1 0.2500 0.2500 0.2500  12 Ni 2.59
Li2 0.7500 0.7500 0.7500  12 Ni 2.59
Ni1 0.2364 0.2364 0.7636  1 B 1.93
Ni2 0.2364 0.7636 0.2364  1 B 1.93
Ni3 0.2364 0.7636 0.7636  1 B 1.93
Ni4 0.7636 0.2364 0.2364  1 B 1.93
Ni5 0.7636 0.2364 0.7636  1 B 1.93
Ni6 0.7636 0.7636 0.2364  1 B 1.93
B1 0.5000 0.5000 0.5000  6 Ni 1.93

## Properties
ΔE to the lowest computed polymorph, meV per atom: 0
E, eV/atom: -5.1287
Crystal system: cubic
Energy of formation from the pure elements, eV per atom: -0.1072

=====

(7)
A plane-wave DFT calculation with PBE was carried out for an optimized crystal structure of Li2Ni6B.

Cell lengths 6.6311, 6.6311, 2.4522 Å; angles 90.00, 90.00, 120.00 degrees
Closest atoms and distances in Å follow each position.
Sites, in units of the cell vectors:
Li1 0.3333 0.6667 0.0000  6 Ni 2.37, 2 Li 2.45
Li2 0.6667 0.3333 0.0000  6 Ni 2.37, 2 Li 2.45
Ni1 0.0000 0.3155 0.2688  1 B 2.17, 2 Li 2.37, 2 Ni 2.38
Ni2 0.0000 0.6845 0.7312  1 B 2.17, 2 Li 2.37, 2 Ni 2.38
Ni3 0.3155 0.0000 0.2688  1 B 2.17, 2 Li 2.37, 2 Ni 2.38
Ni4 0.3155 0.3155 0.7312  1 B 2.17, 2 Li 2.37, 2 Ni 2.38
Ni5 0.6845 0.0000 0.7312  1 B 2.17, 2 Li 2.37, 2 Ni 2.38
Ni6 0.6845 0.6845 0.2688  1 B 2.17, 2 Li 2.37, 2 Ni 2.38
B1 0.0000 0.0000 0.5000  6 Ni 2.17

## Properties
ΔE to the lowest computed polymorph, meV per atom: 201
E, eV/atom: -4.9273
Crystal system: trigonal
Energy of formation from the pure elements, eV per atom: 0.0941

=====

(8)
A plane-wave DFT calculation with PBE was carried out for an optimized crystal structure of LiNi12B4.

Cell lengths 6.1408, 6.1408, 6.1408 Å; angles 109.47, 109.47, 109.47 degrees
Closest atoms and distances in Å follow each position.
Sites, in units of the cell vectors:
Li1 0.0000 0.0000 0.0000  12 Ni 2.61
Ni1 0.1549 0.3261 0.8288  2 B 1.94
Ni2 0.1712 0.4973 0.3261  2 B 1.94
Ni3 0.1712 0.8451 0.6739  2 B 1.94
Ni4 0.3261 0.1712 0.4973  2 B 1.94
Ni5 0.3261 0.8288 0.1549  2 B 1.94
Ni6 0.4973 0.3261 0.1712  2 B 1.94
Ni7 0.5027 0.6739 0.8288  2 B 1.94
Ni8 0.6739 0.1712 0.8451  2 B 1.94
Ni9 0.6739 0.8288 0.5027  2 B 1.94
Ni10 0.8288 0.1549 0.3261  2 B 1.94
Ni11 0.8288 0.5027 0.6739  2 B 1.94
Ni12 0.8451 0.6739 0.1712  2 B 1.94
B1 0.0000 0.0000 0.5000  6 Ni 1.94
B2 0.0000 0.5000 0.0000  6 Ni 1.94
B3 0.5000 0.0000 0.0000  6 Ni 1.94
B4 0.5000 0.5000 0.5000  6 Ni 1.94

## Properties
E, eV/atom: -5.8113
Crystal system: cubic
Energy of formation from the pure elements, eV per atom: -0.0466

=====

(9)
A plane-wave DFT calculation with PBE was carried out for an optimized crystal structure of Li2Ni3B2.

Cell lengths 4.6744, 4.6744, 6.6827 Å; angles 117.34, 117.34, 32.47 degrees
Closest atoms and distances in Å follow each position.
Sites, in units of the cell vectors:
Li1 0.1509 0.1509 0.3052  3 B 2.39-2.54, 6 Ni 2.57-2.63, 2 Li 2.61
Li2 0.8491 0.8491 0.6948  3 B 2.39-2.54, 6 Ni 2.57-2.63, 2 Li 2.61
Ni1 0.3799 0.3799 0.0436  3 B 2.00-2.05
Ni2 0.5000 0.5000 0.5000  4 B 2.05
Ni3 0.6201 0.6201 0.9564  3 B 2.00-2.05
B1 0.1500 0.1500 0.7518  5 Ni 2.00-2.05
B2 0.8500 0.8500 0.2482  5 Ni 2.00-2.05

## Properties
E, eV/atom: -5.1044
Crystal system: monoclinic
Energy of formation from the pure elements, eV per atom: -0.1721

=====

(10)
A plane-wave DFT calculation with PBE was carried out for an optimized crystal structure of LiNi2B2.

Cell lengths 5.8169, 5.8169, 5.8169 Å; angles 151.00, 151.00, 41.48 degrees
Closest atoms and distances in Å follow each position.
Sites, in units of the cell vectors:
Li1 0.0000 0.0000 0.0000  8 Ni 2.44
Ni1 0.3791 0.3791 0.0000  4 B 2.02
Ni2 0.6209 0.6209 0.0000  4 B 2.02
B1 0.2500 0.7500 0.5000  4 Ni 2.02, 4 B 2.06
B2 0.7500 0.2500 0.5000  4 Ni 2.02, 4 B 2.06

## Properties
ΔE to the lowest computed polymorph, meV per atom: 247
E, eV/atom: -5.3312
Crystal system: tetragonal
Energy of formation from the pure elements, eV per atom: 0.0350

=====

(11)
A plane-wave DFT calculation with PBE was carried out for an optimized crystal structure of LiNiB.

Cell lengths 3.9099, 3.9104, 4.5689 Å; angles 74.93, 74.98, 77.93 degrees
Closest atoms and distances in Å follow each position.
Sites, in units of the cell vectors:
Li1 0.0000 0.0000 0.0000  1 B 2.28, 2 Li 2.45-2.47, 2 Ni 2.54-2.55
Li2 0.4972 0.5019 0.9995  1 B 2.28, 2 Li 2.45-2.47, 2 Ni 2.55
Ni1 0.0743 0.5743 0.5150  4 B 2.01-2.03
Ni2 0.6766 0.1766 0.5110  4 B 2.01-2.02
B1 0.2101 0.0585 0.4775  1 B 1.71
B2 0.5589 0.7101 0.4769  1 B 1.71

## Properties
E, eV/atom: -5.0843
Crystal system: triclinic
Energy of formation from the pure elements, eV per atom: -0.2935

=====

(12)
A plane-wave DFT calculation with PBE was carried out for an optimized crystal structure of Li2Ni4B.

Cell lengths 6.6012, 6.6012, 6.6012 Å; angles 146.84, 146.84, 47.60 degrees
Closest atoms and distances in Å follow each position.
Sites, in units of the cell vectors:
Li1 0.1408 0.1408 0.0000  9 Ni 2.44-2.67
Li2 0.8592 0.8592 0.0000  9 Ni 2.44-2.67
Ni1 0.0000 0.5000 0.5000  2 B 1.88
Ni2 0.3428 0.3428 0.0000  1 B 1.90
Ni3 0.5000 0.0000 0.5000  2 B 1.88
Ni4 0.6572 0.6572 0.0000  1 B 1.90
B1 0.5000 0.5000 0.0000  6 Ni 1.88-1.90

## Properties
E, eV/atom: -4.6972
Crystal system: tetragonal
Energy of formation from the pure elements, eV per atom: 0.1072

=====

| no. | total moment (μB per formula unit) |
| --- | --- |
| 1 | 0.0 |
| 2 | 1.3 |
| 3 | 0.0 |
| 4 | 0.0 |
| 5 | 2.4 |
| 6 | 1.3 |
| 7 | 0.5 |
| 8 | 0.0 |
| 9 | 0.0 |
| 10 | 0.0 |
| 11 | 0.0 |
| 12 | 0.0 |